The following is a DFT calculation (PBE) of a relaxed structure of LaAu. Values from VASP.

Quantum ESPRESSO input file:
```
&SYSTEM
  ibrav = 0, nat = 8, ntyp = 2
/
ATOMIC_SPECIES
Au 196.97 Au.upf
La 138.91 La.upf
ATOMIC_POSITIONS crystal
Au 0.667 0.333 0.087
La 0.333 0.667 0.250
Au 0.333 0.667 0.587
La 0.000 0.000 0.250
La 0.667 0.333 0.750
Au 0.333 0.667 0.913
Au 0.667 0.333 0.413
La 0.000 0.000 0.750
CELL_PARAMETERS angstrom
2.632 -4.559 0.000
2.632 4.559 0.000
0.000 0.000 8.700
```

* raw total energy: -4.44 eV per atom

***

The following is a DFT calculation (PBE) of a relaxed structure of LaAu3. Values from VASP.

Quantum ESPRESSO input file:
```
&SYSTEM
  ibrav = 0, nat = 4, ntyp = 2
/
ATOMIC_SPECIES
Au 196.97 Au.upf
La 138.91 La.upf
ATOMIC_POSITIONS crystal
Au 0.000 0.000 0.971
La 0.500 0.500 0.250
Au 0.500 0.500 0.750
Au 0.000 0.000 0.529
CELL_PARAMETERS angstrom
-3.270 -0.627 -1.647
0.571 -3.662 0.260
-2.935 -0.042 5.844
```

* raw total energy: -4.25 eV per atom

***

The following is a DFT calculation (PBE) of a relaxed structure of La3Au. Values from VASP.

Quantum ESPRESSO input file:
```
&SYSTEM
  ibrav = 0, nat = 4, ntyp = 2
/
ATOMIC_SPECIES
La 138.91 La.upf
Au 196.97 Au.upf
ATOMIC_POSITIONS crystal
La 0.000 0.000 0.500
La 0.333 0.667 0.204
Au 0.000 0.000 0.000
La 0.333 0.667 0.796
CELL_PARAMETERS angstrom
-0.545 -0.137 -3.914
0.459 -3.349 2.050
-10.175 -0.517 1.435
```

* raw total energy: -4.80 eV per atom